Entry from Alexandria: a relaxed KMn2NbO crystal (PBE with a Hubbard U).

Calculated values
VASP energy: -3.660 eV/atom
V: 38.5 A^3/atom
density of states at the Fermi level: 3.389 states/eV per cell
symmetry: P4/mmm

Lattice parameters (Å, degrees): 5.8530 5.8530 5.6176 90.00 90.00 90.00
Closest atoms and distances in Å follow each position.
Fractional positions:
K (0.0000, 0.0000, 0.0000)  2 Nb 2.81, 4 Mn 2.93
Mn (0.0000, 0.5000, 0.0000)  2 K 2.93
Mn (0.5000, 0.0000, 0.0000)  2 K 2.93
Nb (0.0000, 0.0000, 0.5000)  2 K 2.81
O (0.5000, 0.5000, 0.5000)  8 Mn 4.06, 4 Nb 4.14

---

Entry from Alexandria: a relaxed K3Mn2NbO6 crystal (PBE with a Hubbard U).

Calculated values
VASP energy: -6.723 eV/atom
V: 14.2 A^3/atom
density of states at the Fermi level: 0.000 states/eV per cell
symmetry: C2/m

Lattice parameters (Å, degrees): 5.6775 5.6775 6.4048 98.41 98.41 120.06
Closest atoms and distances in Å follow each position.
Fractional positions:
K (0.0000, 0.0000, 0.0000)  6 O 2.66-2.82
K (0.3275, 0.6725, 0.0000)  6 O 2.66-2.80
K (0.6725, 0.3275, 0.0000)  6 O 2.66-2.80
Mn (0.1663, 0.8337, 0.5000)  6 O 2.27-2.28
Mn (0.8337, 0.1663, 0.5000)  6 O 2.27-2.28
Nb (0.5000, 0.5000, 0.5000)  6 O 2.06
O (0.1349, 0.4386, 0.3180)  1 Nb 2.06, 2 Mn 2.27-2.28
O (0.2583, 0.2583, 0.6846)  1 Nb 2.06, 2 Mn 2.28
O (0.4386, 0.1349, 0.3180)  1 Nb 2.06, 2 Mn 2.27-2.28
O (0.5614, 0.8651, 0.6820)  1 Nb 2.06, 2 Mn 2.27-2.28
O (0.7417, 0.7417, 0.3154)  1 Nb 2.06, 2 Mn 2.28
O (0.8651, 0.5614, 0.6820)  1 Nb 2.06, 2 Mn 2.27-2.28

---

Entry from Alexandria: a relaxed KMn2Nb2O7 crystal (PBE with a Hubbard U).

Calculated values
VASP energy: -8.060 eV/atom
V: 13.1 A^3/atom
density of states at the Fermi level: 1.862 states/eV per cell
symmetry: Immm

Lattice parameters (Å, degrees): 9.7990 9.7990 9.7990 156.38 155.26 34.46
Closest atoms and distances in Å follow each position.
Fractional positions:
K (0.0000, 0.0000, 0.0000)  12 O 2.90-2.94
Mn (0.2281, 0.7281, 0.5000)  5 O 2.10-2.20
Mn (0.7719, 0.2719, 0.5000)  5 O 2.10-2.20
Nb (0.3940, 0.3940, 0.0000)  6 O 1.98-2.21
Nb (0.6060, 0.6060, 0.0000)  6 O 1.98-2.21
O (0.1119, 0.6119, 0.5000)  2 Nb 2.10, 1 Mn 2.17
O (0.2761, 0.2761, 0.0000)  4 Mn 2.10-2.20, 1 Nb 2.21
O (0.3900, 0.8900, 0.5000)  2 Nb 2.01
O (0.5000, 0.5000, 0.0000)  2 Nb 1.98
O (0.6100, 0.1100, 0.5000)  2 Nb 2.01
O (0.7239, 0.7239, 0.0000)  4 Mn 2.10-2.20, 1 Nb 2.21
O (0.8881, 0.3881, 0.5000)  2 Nb 2.10, 1 Mn 2.17

---

Entry from Alexandria: a relaxed K2MnNbO5 crystal (PBE with a Hubbard U).

Calculated values
VASP energy: -6.893 eV/atom
V: 20.5 A^3/atom
symmetry: Cmc2_1

Lattice parameters (Å, degrees): 7.4600 7.4600 13.3824 90.00 90.00 150.32
Closest atoms and distances in Å follow each position.
Fractional positions:
K (0.1004, 0.8996, 0.5000)  2 O 2.66
K (0.1098, 0.8902, 0.2206)  5 O 2.75-2.86
K (0.8902, 0.1098, 0.7206)  5 O 2.75-2.86
K (0.8996, 0.1004, 0.0000)  2 O 2.66
Mn (0.2339, 0.7661, 0.8672)  3 O 1.78-1.95
Mn (0.7661, 0.2339, 0.3672)  3 O 1.78-1.95
Nb (0.3775, 0.6225, 0.2263)  2 O 1.81-1.84
Nb (0.6225, 0.3775, 0.7263)  2 O 1.81-1.84
O (0.1146, 0.8854, 0.7787)  2 Nb 2.04, 1 Mn 2.09
O (0.2893, 0.7107, 0.1303)  1 Nb 1.81
O (0.2936, 0.7064, 0.3655)  2 Mn 1.95
O (0.3573, 0.6427, 0.8696)  1 Mn 1.78
O (0.4869, 0.5131, 0.1557)  1 Nb 1.84
O (0.5131, 0.4869, 0.6557)  1 Nb 1.84
O (0.6427, 0.3573, 0.3696)  1 Mn 1.78
O (0.7064, 0.2936, 0.8655)  2 Mn 1.95
O (0.7107, 0.2893, 0.6303)  1 Nb 1.81
O (0.8854, 0.1146, 0.2787)  2 Nb 2.04, 1 Mn 2.09

---

Among the records above, which one has the lowest V?
KMn2Nb2O7